The following is a PBE calculation of a relaxed CaY2V crystal, from Alexandria via LeMat-Bulk.

Values from the calculation:
Its total energy is -5.662 eV per atom.

Cell lengths 5.437, 5.437, 5.437 Å; angles 60.00, 60.00, 60.00 degrees
Sites, in units of the cell vectors:
Ca  0.000  0.000  0.000
Y  0.250  0.250  0.250
Y  0.750  0.750  0.750
V  0.500  0.500  0.500